[1]
Entry from Alexandria: a relaxed structure of MnZn2Cr (PBE).

abc: 7.055 7.055 5.094
angles: 90.00 90.00 90.00
Space group I-42d (No. 122)
Unique sites:
Mn1 0.000 0.000 0.000 [4 per cell]
Zn1 0.244 0.750 0.125 [8 per cell]
Cr1 0.000 0.000 0.500 [4 per cell]

Results
Density of states at the Fermi level (states/eV/cell): 14.07
ΔE to the lowest computed polymorph (eV per atom): 0.491
Crystal system: tetragonal
Total energy (eV per cell): -76.5
Total magnetic moment (Bohr magnetons per cell): 0.19

***

[2]
Entry from Alexandria: a relaxed structure of Zn2CdTc2 (PBE).

abc: 7.679 7.679 2.819
angles: 90.00 90.00 90.00
Space group P4/mbm (No. 127)
Unique sites:
Zn1 0.183 0.317 0.000 [4 per cell]
Cd1 0.000 0.000 0.000 [2 per cell]
Tc1 0.108 0.608 0.500 [4 per cell]

Results
Density of states at the Fermi level (states/eV/cell): 9.07
Crystal system: tetragonal
Total energy (eV per cell): -45.1
Total magnetic moment (Bohr magnetons per cell): 0.00

***

[3]
Entry from Alexandria: a relaxed structure of Ac5CoSn2 (PBE).

abc: 6.299 11.029 16.663
angles: 90.00 90.00 90.00
Space group Cmcm (No. 63)
Unique sites:
Ac1 0.000 0.087 0.119 [8 per cell]
Ac2 0.000 0.250 0.750 [4 per cell]
Ac3 0.000 0.413 0.119 [8 per cell]
Co1 0.000 0.250 0.250 [4 per cell]
Sn1 0.000 0.250 0.553 [8 per cell]

Results
Density of states at the Fermi level (states/eV/cell): 33.44
Crystal system: orthorhombic
Total energy (eV per cell): -149.2
Total magnetic moment (Bohr magnetons per cell): 0.00

***

[4]
Entry from Alexandria: a relaxed structure of BaGa2Ru (PBE).

abc: 4.3436 4.3436 17.8033
angles: 90.00 90.00 120.00
Space group R-3m (No. 166, hexagonal axes)
Unique sites:
Ba1 0.0000 0.0000 0.0000 [3 per cell]
Ga1 0.0000 0.0000 0.1994 [6 per cell]
Ru1 0.0000 0.0000 0.5000 [3 per cell]

Results
Density of states at the Fermi level (states/eV/cell): 7.46
Crystal system: trigonal
Total energy (eV per cell): -55.4
Total magnetic moment (Bohr magnetons per cell): 0.00